1.
The following is a DFT calculation (PBE) of Sc3Ge3Ru after structural relaxation.

Geometry as POSCAR:
```
Sc3Ge3Ru
1.0
5.1197 -2.0564 0.0000
5.1197 2.0564 0.0000
-4.4970 0.0000 12.3832
Sc Ge Ru
6 6 2
Direct
0.0221 0.0221 0.3764 Sc
0.0987 0.0987 0.9210 Sc
0.2366 0.2366 0.2277 Sc
0.7634 0.7634 0.7723 Sc
0.9013 0.9013 0.0790 Sc
0.9779 0.9779 0.6236 Sc
0.3690 0.3690 0.4509 Ge
0.3728 0.3728 0.9264 Ge
0.4672 0.4672 0.7646 Ge
0.5328 0.5328 0.2354 Ge
0.6272 0.6272 0.0736 Ge
0.6310 0.6310 0.5491 Ge
0.2572 0.2572 0.5912 Ru
0.7428 0.7428 0.4088 Ru
```

space-group type	C2/m, No. 12
DFT formation energy	-0.785	eV per atom

***

2.
The following is a DFT calculation (PBE) of NaSmBr4 after structural relaxation.

Geometry as POSCAR:
```
NaSmBr4
1.0
6.9474 0.0000 0.0000
0.0000 4.3122 0.0000
-0.4752 0.0000 7.5853
Na Sm Br
1 1 4
Direct
0.0000 0.0000 0.0000 Na
0.0000 0.5000 0.5000 Sm
0.2149 0.5000 0.1959 Br
0.2359 0.0000 0.6572 Br
0.7641 0.0000 0.3428 Br
0.7851 0.5000 0.8041 Br
```

raw formation energy	-1.76	eV/atom
space-group type	P2/m, No. 10

***

3.
The following is a DFT calculation (PBE) of Tb2PuPN5 after structural relaxation.

Geometry as POSCAR:
```
Tb2PuPN5
1.0
1.6367 -7.1783 0.0000
1.6367 7.1783 0.0000
0.0000 0.0000 10.1886
Tb Pu P N
4 2 2 10
Direct
0.1085 0.8915 0.5000 Tb
0.1308 0.8692 0.1615 Tb
0.8692 0.1308 0.6615 Tb
0.8915 0.1085 0.0000 Tb
0.1969 0.8031 0.8611 Pu
0.8031 0.1969 0.3611 Pu
0.4553 0.5447 0.2402 P
0.5447 0.4553 0.7402 P
0.0238 0.9762 0.8236 N
0.2912 0.7088 0.5065 N
0.3432 0.6568 0.1988 N
0.3443 0.6557 0.8393 N
0.4873 0.5127 0.6038 N
0.5127 0.4873 0.1038 N
0.6557 0.3443 0.3393 N
0.6568 0.3432 0.6988 N
0.7088 0.2912 0.0066 N
0.9762 0.0238 0.3236 N
```

raw formation energy	-1.02	eV/atom
space-group type	Cmc2_1, No. 36

***

4.
The following is a DFT calculation (PBE) of LiCa2SbN after structural relaxation.

Geometry as POSCAR:
```
LiCa2SbN
1.0
4.9043 0.0000 0.0000
0.0000 4.9043 0.0000
0.0000 0.0000 4.2986
Li Ca Sb N
1 2 1 1
Direct
0.0000 0.0000 0.0000 Li
0.0000 0.5000 0.5000 Ca
0.5000 0.0000 0.5000 Ca
0.5000 0.5000 0.0000 Sb
0.0000 0.0000 0.5000 N
```

raw formation energy	-0.76	eV/atom
space-group type	P4/mmm, No. 123